Density functional theory data (PBE) for a geometry-optimized SmHoIrAu structure.

The structure belongs to space group F-43m (No. 216); the cell edges are 7.084, 7.084 and 7.084 Å and the angles 90.00°, 90.00° and 90.00°. The distinct sites, in fractional coordinates, are Sm at (0.000, 0.000, 0.000), Ho at (0.000, 0.000, 0.500), Ir at (0.250, 0.250, 0.750) and Au at (0.250, 0.250, 0.250).

The formation energy is -0.776 eV per atom. As for the energy above the most stable polymorph in this dataset: 21 meV/atom. The calculation puts the total energy at -6.13 eV/atom.

---

Density functional theory data (PBE) for a geometry-optimized ZrIrSe3 structure.

The structure belongs to space group Pm-3m (No. 221); the cell edges are 5.152, 5.152 and 5.152 Å and the angles 90.00°, 90.00° and 90.00°. The distinct sites, in fractional coordinates, are Zr at (0.000, 0.000, 0.000), Ir at (0.500, 0.500, 0.500) and Se at (0.000, 0.000, 0.500).

Its raw formation energy is 60.9 kJ per mole of atoms. As for the energy above the most stable polymorph in this dataset: 391 meV/atom. The calculation puts the total energy at -4.94 eV/atom.

---

Density functional theory data (PBE) for a geometry-optimized SnGeRuRh structure.

The structure belongs to space group F-43m (No. 216); the cell edges are 6.344, 6.344 and 6.344 Å and the angles 90.00°, 90.00° and 90.00°. The distinct sites, in fractional coordinates, are Sn at (0.000, 0.000, 0.000), Ge at (0.000, 0.000, 0.500), Ru at (0.250, 0.250, 0.750) and Rh at (0.250, 0.250, 0.250).

The formation energy is -0.172 eV per atom. The calculation puts the total energy at -6.48 eV/atom.

---

Density functional theory data (PBE) for a geometry-optimized SiHgTe2 structure.

The structure belongs to space group P4mm (No. 99); the cell edges are 3.384, 3.384 and 9.575 Å and the angles 90.00°, 90.00° and 90.00°. The distinct sites, in fractional coordinates, are Si at (0.000, 0.000, 0.000), Hg at (0.500, 0.500, 0.765), Te at (0.000, 0.000, 0.497) and Te at (0.500, 0.500, 0.148).

Its raw formation energy is 35.3 kJ per mole of atoms. As for the energy above the most stable polymorph in this dataset: 308 meV/atom. The calculation puts the total energy at -2.64 eV/atom.